The following is a PBE calculation of crystalline Pm2SBr at its relaxed geometry, from the Alexandria database.

It has space group R3m (No. 160, hexagonal axes), with a = 3.9157 Å, b = 3.9157 Å, c = 23.2517 Å, α = 90.00°, β = 90.00° and γ = 120.00°. The inequivalent atoms are Pm at (0.0000, 0.0000, 0.0000), Pm at (0.0000, 0.0000, 0.1969), S at (0.0000, 0.0000, 0.5994) and Br at (0.0000, 0.0000, 0.7667).

The calculation puts the uncorrected formation energy at -36.21 kcal/mol of atoms. The value obtained for the density of states at the Fermi level is 8.09 states/eV/cell.

---

The following is a PBE calculation of crystalline PmSBr at its relaxed geometry, from the Alexandria database.

It has space group P3m1 (No. 156), with a = 4.2287 Å, b = 4.2287 Å, c = 6.7915 Å, α = 90.00°, β = 90.00° and γ = 120.00°. The inequivalent atoms are Pm at (0.0000, 0.0000, 0.0000), S at (0.6667, 0.3333, 0.1760) and Br at (0.3333, 0.6667, 0.7280).

The calculation puts the uncorrected formation energy at -44.26 kcal/mol of atoms. The value obtained for the density of states at the Fermi level is 0.00 states/eV/cell.

---

Excess energy over the best structure of this formula in the dataset values (in eV/atom) by entry order: 0.014; 0.075.